(1)
The following is a DFT calculation (PBE) of crystalline SrAl2Cl at its relaxed geometry.

Calculated values
Crystal system: cubic
Symmetry: Fm-3m (225)

Structure (POSCAR):
```
SrAl2Cl
1.0
0.0000 3.8363 3.8363
3.8363 0.0000 3.8363
3.8363 3.8363 0.0000
Al Cl Sr
2 1 1
direct
0.7500 0.7500 0.7500
0.2500 0.2500 0.2500
0.0000 0.0000 0.0000
0.5000 0.5000 0.5000
```

=====

(2)
The following is a DFT calculation (PBE) of crystalline SrAlCl3 at its relaxed geometry.

Calculated values
Crystal system: cubic
Symmetry: Pm-3m (221)

Structure (POSCAR):
```
SrAlCl3
1.0
-1.7287 -3.4768 -3.5390
-3.2162 -2.0682 3.6028
-3.7774 3.3520 -1.4479
Al Sr Cl
1 1 3
direct
0.0000 0.0000 0.0000
0.5000 0.5000 0.5000
0.0000 0.0000 0.5000
0.5000 0.0000 0.0000
0.0000 0.5000 0.0000
```

=====

In the order shown, the computed M_tot values come out to 0.0 0.0 μB per cell.
In the order shown, the computed E_form (uncorrected) values come out to 16.7 -113.1 kJ/mol of atoms.